Crystalline Co3Te2Cl2O6 at its relaxed geometry. Source: OQMD via LeMat-Bulk, functional PBE with a Hubbard U.

```
13
Lattice="4.6923 -3.2028 0.0000 4.6923 3.2028 0.0000 -2.6325 0.0000 7.3317" Properties=species:S:1:pos:R:3 pbc="T T T"
Co 0.0000 0.0000 0.0000
Co 3.5643 0.0000 1.1422
Co 3.1878 0.0000 6.1895
Te -0.3737 0.0000 5.2735
Te 7.1259 0.0000 2.0582
Cl 1.7057 0.0000 2.6289
Cl 5.0464 0.0000 4.7028
O 3.5220 1.9588 1.0835
O 3.2301 1.9588 6.2482
O 1.1294 0.0000 6.3863
O 5.6227 0.0000 0.9454
O 3.5220 -1.9588 1.0835
O 3.2301 -1.9588 6.2482
```

As for the total energy: -67.80 eV/cell. The magnetization is 9.00 μB/f.u. The space group is C2/m. The theoretical density is 4.5 g/cm³.